(1)
First-principles (PBE) data for an optimized crystal structure of Mg2PaRh6, as listed in Alexandria.

Unit cell a=4.580 b=6.723 c=6.170 alpha=123.01 beta=90.00 gamma=90.00
Atoms (fractional coordinates):
Mg 0.500 0.248 0.495
Mg 0.500 0.752 0.505
Rh 0.500 0.281 0.000
Rh 0.500 0.719 0.000
Rh 0.000 0.829 0.272
Rh 0.000 0.171 0.728
Rh 0.000 0.443 0.272
Pa 0.000 0.000 0.000
Rh 0.000 0.557 0.728

Properties
For the formation energy, the calculation gives -319 meV per atom.

=====

(2)
First-principles (PBE) data for an optimized crystal structure of MgPa2Rh6, as listed in Alexandria.

Unit cell a=3.673 b=7.309 c=7.592 alpha=118.73 beta=104.00 gamma=89.99
Atoms (fractional coordinates):
Rh 0.500 0.741 0.000
Rh 0.166 0.932 0.333
Rh 0.834 0.599 0.667
Rh 0.166 0.401 0.333
Rh 0.834 0.068 0.667
Rh 0.500 0.259 0.000
Pa 0.654 0.654 0.308
Mg 0.000 0.000 0.000
Pa 0.346 0.346 0.692

Properties
For the formation energy, the calculation gives -506 meV per atom.

=====

(3)
First-principles (PBE) data for an optimized crystal structure of Mg2PaRh5, as listed in Alexandria.

Unit cell a=4.199 b=4.199 c=7.819 alpha=105.57 beta=105.57 gamma=90.00
Atoms (fractional coordinates):
Mg 0.250 0.250 0.500
Rh 0.500 0.500 0.000
Mg 0.750 0.750 0.500
Rh 0.370 0.870 0.739
Rh 0.130 0.630 0.261
Pa 0.000 0.000 0.000
Rh 0.630 0.130 0.261
Rh 0.870 0.370 0.739

Properties
For the formation energy, the calculation gives -686 meV per atom.

=====

(4)
First-principles (PBE) data for an optimized crystal structure of MgPa2Rh8, as listed in Alexandria.

Unit cell a=4.195 b=6.351 c=7.551 alpha=107.53 beta=106.13 gamma=90.00
Atoms (fractional coordinates):
Rh 0.850 0.793 0.700
Rh 0.678 0.921 0.355
Mg 0.500 0.000 0.000
Pa 0.803 0.350 0.607
Rh 0.412 0.552 0.824
Rh 0.322 0.079 0.645
Rh 0.150 0.207 0.300
Rh 0.963 0.252 0.926
Rh 0.037 0.748 0.074
Pa 0.197 0.650 0.393
Rh 0.588 0.448 0.176

Properties
For the formation energy, the calculation gives -522 meV per atom.